Here is TaZn2As after structural relaxation from Alexandria via LeMat-Bulk. Energies are from PBE-GGA.

The structure in POSCAR format:
```
TaZn2As
1.0
4.8579 0.0000 0.0000
0.0000 4.8579 0.0000
0.0000 0.0000 2.8646
Ta Zn As
1 2 1
Direct
0.0000 0.0000 0.0000 Ta
0.0000 0.5000 0.5000 Zn
0.5000 0.0000 0.5000 Zn
0.5000 0.5000 0.0000 As
```

Calculated values
magnetic moment: 0.00 μB/atom
calculated total energy: -4.47 eV/atom
D(E_F): 1.761 states/eV/f.u.
SG: P4/mmm
E_form: 0.290 eV per atom